Record 1
{
  "formula": "InHg7",
  "functional": "GGA-PBEsol",
  "state": "relaxed",
  "dos_at_fermi_per_ev_atom": 0.263,
  "density_g_cm3": 13.4,
  "ef_mev_per_atom": -5,
  "spacegroup": "Fm-3m, No. 225",
  "energy_ha_per_atom": -0.03212,
  "cell": [[6.434, 0.000, 0.000], [3.217, 5.572, 0.000], [3.217, 1.857, 5.254]],
  "species": ["Hg", "Hg", "Hg", "Hg", "Hg", "Hg", "In", "Hg"],
  "fractional_positions": [[0.000, 0.000, 0.500], [0.500, 0.500, 0.500], [0.500, 0.000, 0.500], [0.500, 0.500, 0.000], [0.000, 0.500, 0.500], [0.500, 0.000, 0.000], [0.000, 0.000, 0.000], [0.000, 0.500, 0.000]]
}

=====

Record 2
{
  "formula": "InHg",
  "functional": "GGA-PBEsol",
  "state": "relaxed",
  "dos_at_fermi_per_ev_atom": 0.440,
  "density_g_cm3": 10.7,
  "ef_mev_per_atom": 15,
  "spacegroup": "Fd-3m, No. 227",
  "energy_ha_per_atom": -0.06469,
  "cell": [[5.168, 0.000, 0.000], [2.584, 4.476, 0.000], [2.584, 1.492, 4.220]],
  "species": ["Hg", "Hg", "In", "In"],
  "fractional_positions": [[0.500, 0.500, 0.500], [0.750, 0.750, 0.750], [0.000, 0.000, 0.000], [0.250, 0.250, 0.250]]
}

=====

Record 3
{
  "formula": "In5Hg",
  "functional": "GGA-PBEsol",
  "state": "relaxed",
  "dos_at_fermi_per_ev_atom": 0.448,
  "density_g_cm3": 8.6,
  "ef_mev_per_atom": 1,
  "spacegroup": "Cm, No. 8",
  "energy_ha_per_atom": -0.09478,
  "cell": [[-2.200, 2.474, 0.959], [-3.290, -5.275, -0.133], [3.424, 0.390, 6.846]],
  "species": ["Hg", "In", "In", "In", "In", "In"],
  "fractional_positions": [[0.012, 0.025, 0.028], [0.348, 0.695, 0.703], [0.683, 0.365, 0.355], [0.381, 0.762, 0.244], [0.042, 0.083, 0.582], [0.701, 0.403, 0.921]]
}

=====

Record 4
{
  "formula": "In3Hg4",
  "functional": "GGA-PBEsol",
  "state": "relaxed",
  "dos_at_fermi_per_ev_atom": 0.384,
  "density_g_cm3": 10.7,
  "ef_mev_per_atom": 64,
  "spacegroup": "P6/mmm, No. 191",
  "energy_ha_per_atom": -0.05653,
  "cell": [[5.606, 0.000, 0.000], [0.000, 6.046, 0.000], [0.000, -3.023, 5.236]],
  "species": ["In", "Hg", "In", "Hg", "Hg", "Hg", "In"],
  "fractional_positions": [[0.000, 0.000, 0.500], [0.256, 0.000, 0.000], [0.000, 0.500, 0.500], [0.744, 0.000, 0.000], [0.500, 0.333, 0.667], [0.500, 0.667, 0.333], [0.000, 0.500, 0.000]]
}

=====

Record 5
{
  "formula": "In4Hg3",
  "functional": "GGA-PBEsol",
  "state": "relaxed",
  "dos_at_fermi_per_ev_atom": 0.465,
  "density_g_cm3": 10.3,
  "ef_mev_per_atom": -4,
  "spacegroup": "I4/mmm, No. 139",
  "energy_ha_per_atom": -0.07172,
  "cell": [[3.917, 0.000, 0.000], [0.000, 3.917, 0.000], [-1.958, -1.958, 11.178]],
  "species": ["Hg", "In", "Hg", "In", "Hg", "In", "In"],
  "fractional_positions": [[0.714, 0.714, 0.429], [0.429, 0.429, 0.858], [0.286, 0.286, 0.571], [0.571, 0.571, 0.142], [0.000, 0.000, 0.000], [0.148, 0.148, 0.296], [0.852, 0.852, 0.704]]
}

=====

Record 6
{
  "formula": "InHg",
  "functional": "GGA-PBEsol",
  "state": "relaxed",
  "dos_at_fermi_per_ev_atom": 0.411,
  "density_g_cm3": 10.8,
  "ef_mev_per_atom": -6,
  "spacegroup": "P4/nmm, No. 129",
  "energy_ha_per_atom": -0.06546,
  "cell": [[-3.459, 0.271, -1.751], [1.142, -2.596, -2.657], [-2.244, -4.767, 3.693]],
  "species": ["In", "In", "Hg", "Hg"],
  "fractional_positions": [[0.000, 0.500, 0.641], [0.500, 0.000, 0.359], [0.000, 0.500, 0.131], [0.500, 0.000, 0.869]]
}

=====

Record 7
{
  "formula": "InHg",
  "functional": "GGA-PBEsol",
  "state": "relaxed",
  "dos_at_fermi_per_ev_atom": 0.346,
  "density_g_cm3": 10.8,
  "ef_mev_per_atom": -6,
  "spacegroup": "P-6m2, No. 187",
  "energy_ha_per_atom": -0.06546,
  "cell": [[3.276, 0.000, 0.000], [-1.638, 2.837, 0.000], [0.000, 0.000, 5.198]],
  "species": ["Hg", "In"],
  "fractional_positions": [[0.000, 0.000, 0.000], [0.333, 0.667, 0.500]]
}

=====

Record 8
{
  "formula": "InHg",
  "functional": "GGA-PBEsol",
  "state": "relaxed",
  "dos_at_fermi_per_ev_atom": 0.418,
  "density_g_cm3": 10.7,
  "ef_mev_per_atom": -9,
  "spacegroup": "Pbcm, No. 57",
  "energy_ha_per_atom": -0.06556,
  "cell": [[6.334, 0.000, 0.000], [0.000, 9.573, 0.000], [0.000, 0.000, 9.668]],
  "species": ["Hg", "In", "Hg", "Hg", "In", "In", "Hg", "Hg", "Hg", "In", "In", "In", "In", "Hg", "In", "Hg", "In", "In", "Hg", "Hg", "In", "Hg", "Hg", "In"],
  "fractional_positions": [[0.750, 0.392, 0.851], [0.250, 0.948, 0.120], [0.250, 0.108, 0.851], [0.250, 0.550, 0.590], [0.250, 0.448, 0.880], [0.250, 0.864, 0.663], [0.250, 0.608, 0.149], [0.000, 0.250, 0.093], [0.750, 0.450, 0.410], [0.750, 0.136, 0.337], [0.000, 0.250, 0.619], [0.750, 0.636, 0.663], [0.500, 0.750, 0.381], [0.500, 0.750, 0.907], [0.500, 0.250, 0.619], [0.250, 0.050, 0.410], [0.250, 0.364, 0.337], [0.750, 0.552, 0.120], [0.750, 0.950, 0.590], [0.750, 0.892, 0.149], [0.000, 0.750, 0.381], [0.000, 0.750, 0.907], [0.500, 0.250, 0.093], [0.750, 0.052, 0.880]]
}

=====

Record 9
{
  "formula": "InHg",
  "functional": "GGA-PBEsol",
  "state": "relaxed",
  "dos_at_fermi_per_ev_atom": 0.429,
  "density_g_cm3": 10.6,
  "ef_mev_per_atom": -12,
  "spacegroup": "P6_3/mmc, No. 194",
  "energy_ha_per_atom": -0.06568,
  "cell": [[-3.570, 0.558, 0.063], [1.450, -2.141, -2.525], [-0.983, -6.875, 5.266]],
  "species": ["In", "Hg", "In", "Hg"],
  "fractional_positions": [[0.333, 0.667, 0.250], [0.000, 0.000, 0.000], [0.667, 0.333, 0.750], [0.000, 0.000, 0.500]]
}

=====

Record 10
{
  "formula": "InHg",
  "functional": "GGA-PBEsol",
  "state": "relaxed",
  "dos_at_fermi_per_ev_atom": 0.408,
  "density_g_cm3": 10.8,
  "ef_mev_per_atom": -14,
  "spacegroup": "Cm, No. 8",
  "energy_ha_per_atom": -0.06575,
  "cell": [[3.495, 0.000, 0.000], [-1.748, 5.512, -0.348], [0.000, -2.717, 7.695]],
  "species": ["In", "Hg", "Hg", "Hg", "In", "In"],
  "fractional_positions": [[0.723, 0.446, 0.935], [0.326, 0.651, 0.687], [0.391, 0.782, 0.257], [0.017, 0.033, 0.011], [0.027, 0.054, 0.595], [0.684, 0.367, 0.347]]
}

=====

Record 11
{
  "formula": "In3Hg2",
  "functional": "GGA-PBEsol",
  "state": "relaxed",
  "dos_at_fermi_per_ev_atom": 0.405,
  "density_g_cm3": 10.1,
  "ef_mev_per_atom": -22,
  "spacegroup": "R-3m, No. 166",
  "energy_ha_per_atom": -0.07492,
  "cell": [[3.606, 0.000, 0.000], [1.803, 3.123, 0.000], [1.803, 1.041, 10.924]],
  "species": ["Hg", "In", "In", "In", "Hg"],
  "fractional_positions": [[0.399, 0.399, 0.803], [0.798, 0.798, 0.606], [0.000, 0.000, 0.000], [0.202, 0.202, 0.394], [0.601, 0.601, 0.197]]
}

=====

Record 12
{
  "formula": "In5Hg24",
  "functional": "GGA-PBEsol",
  "state": "relaxed",
  "dos_at_fermi_per_ev_atom": 0.351,
  "density_g_cm3": 13.0,
  "ef_mev_per_atom": 12,
  "spacegroup": "I-43m, No. 217",
  "energy_ha_per_atom": -0.03568,
  "cell": [[9.629, 0.000, 0.000], [-3.210, 9.079, 0.000], [-3.210, -4.539, 7.862]],
  "species": ["Hg", "Hg", "In", "Hg", "Hg", "In", "Hg", "Hg", "Hg", "Hg", "Hg", "Hg", "Hg", "Hg", "Hg", "Hg", "Hg", "Hg", "Hg", "In", "Hg", "Hg", "Hg", "Hg", "Hg", "In", "In", "Hg", "Hg"],
  "fractional_positions": [[0.578, 0.578, 0.271], [0.610, 0.610, 0.803], [0.000, 0.000, 0.000], [0.578, 0.271, 0.578], [0.000, 0.390, 0.193], [0.337, 0.337, 0.337], [0.000, 0.422, 0.692], [0.308, 0.308, 0.729], [0.692, 0.000, 0.422], [0.422, 0.000, 0.692], [0.729, 0.308, 0.308], [0.422, 0.692, 0.000], [0.197, 0.807, 0.807], [0.807, 0.807, 0.197], [0.000, 0.193, 0.390], [0.390, 0.193, 0.000], [0.193, 0.390, 0.000], [0.000, 0.692, 0.422], [0.193, 0.000, 0.390], [0.000, 0.663, 0.000], [0.692, 0.422, 0.000], [0.610, 0.803, 0.610], [0.308, 0.729, 0.308], [0.271, 0.578, 0.578], [0.807, 0.197, 0.807], [0.663, 0.000, 0.000], [0.000, 0.000, 0.663], [0.803, 0.610, 0.610], [0.390, 0.000, 0.193]]
}

=====

Record 13
{
  "formula": "InHg",
  "functional": "GGA-PBEsol",
  "state": "relaxed",
  "dos_at_fermi_per_ev_atom": 0.444,
  "density_g_cm3": 10.9,
  "ef_mev_per_atom": -14,
  "spacegroup": "I4_1/amd, No. 141",
  "energy_ha_per_atom": -0.06574,
  "cell": [[4.525, 0.000, 0.000], [0.000, 4.525, 0.000], [-2.263, -2.263, 4.689]],
  "species": ["Hg", "In", "Hg", "In"],
  "fractional_positions": [[0.250, 0.750, 0.500], [0.500, 0.500, 0.000], [0.000, 0.000, 0.000], [0.750, 0.250, 0.500]]
}

=====

Record 14
{
  "formula": "InHg",
  "functional": "GGA-PBEsol",
  "state": "relaxed",
  "dos_at_fermi_per_ev_atom": 0.434,
  "density_g_cm3": 10.9,
  "ef_mev_per_atom": -2,
  "spacegroup": "Cmme, No. 67",
  "energy_ha_per_atom": -0.06529,
  "cell": [[3.231, 0.600, 0.000], [-0.802, 3.187, 0.000], [0.000, 0.000, 8.949]],
  "species": ["Hg", "In", "In", "Hg"],
  "fractional_positions": [[0.750, 0.250, 0.881], [0.250, 0.750, 0.635], [0.750, 0.250, 0.365], [0.250, 0.750, 0.119]]
}

=====

Record 15
{
  "formula": "In3Hg2",
  "functional": "GGA-PBEsol",
  "state": "relaxed",
  "dos_at_fermi_per_ev_atom": 0.392,
  "density_g_cm3": 9.5,
  "ef_mev_per_atom": 6,
  "spacegroup": "P-3m1, No. 164",
  "energy_ha_per_atom": -0.07387,
  "cell": [[4.644, 0.000, 0.000], [-2.322, 4.022, 0.000], [0.000, 0.000, 6.986]],
  "species": ["Hg", "In", "In", "In", "Hg"],
  "fractional_positions": [[0.333, 0.667, 0.807], [0.333, 0.667, 0.363], [0.000, 0.000, 0.000], [0.667, 0.333, 0.637], [0.667, 0.333, 0.193]]
}

=====

Record 16
{
  "formula": "In5Hg",
  "functional": "GGA-PBEsol",
  "state": "relaxed",
  "dos_at_fermi_per_ev_atom": 0.435,
  "density_g_cm3": 8.6,
  "ef_mev_per_atom": 1,
  "spacegroup": "Amm2, No. 38",
  "energy_ha_per_atom": -0.09479,
  "cell": [[3.581, 0.000, 0.000], [0.000, 5.263, 0.000], [-1.790, 0.000, 7.966]],
  "species": ["In", "In", "In", "In", "In", "Hg"],
  "fractional_positions": [[0.652, 0.000, 0.304], [0.326, 0.000, 0.651], [0.789, 0.500, 0.577], [0.457, 0.500, 0.915], [0.122, 0.500, 0.244], [0.988, 0.000, 0.976]]
}

=====

Record 17
{
  "formula": "InHg",
  "functional": "GGA-PBEsol",
  "state": "relaxed",
  "dos_at_fermi_per_ev_atom": 0.395,
  "density_g_cm3": 10.7,
  "ef_mev_per_atom": -34,
  "spacegroup": "R-3m, No. 166",
  "energy_ha_per_atom": -0.06648,
  "cell": [[-0.413, 3.448, 1.026], [-1.681, 0.774, 3.113], [3.067, 1.241, 3.455]],
  "species": ["In", "Hg"],
  "fractional_positions": [[0.500, 0.500, 0.500], [0.000, 0.000, 0.000]]
}

=====

Record 18
{
  "formula": "InHg",
  "functional": "GGA-PBEsol",
  "state": "relaxed",
  "dos_at_fermi_per_ev_atom": 0.448,
  "density_g_cm3": 10.8,
  "ef_mev_per_atom": -9,
  "spacegroup": "Imma, No. 74",
  "energy_ha_per_atom": -0.06556,
  "cell": [[3.552, 0.000, 0.000], [0.000, 5.231, 0.000], [-1.776, -2.616, 5.210]],
  "species": ["Hg", "Hg", "In", "In"],
  "fractional_positions": [[0.873, 0.623, 0.745], [0.127, 0.377, 0.255], [0.621, 0.871, 0.241], [0.379, 0.129, 0.759]]
}

=====

Record 19
{
  "formula": "InHg",
  "functional": "GGA-PBEsol",
  "state": "relaxed",
  "dos_at_fermi_per_ev_atom": 0.437,
  "density_g_cm3": 10.8,
  "ef_mev_per_atom": -22,
  "spacegroup": "C2/m, No. 12",
  "energy_ha_per_atom": -0.06603,
  "cell": [[3.320, 0.000, 0.000], [0.000, 5.266, 0.534], [-1.660, -1.335, 5.419]],
  "species": ["In", "Hg", "Hg", "In"],
  "fractional_positions": [[0.627, 0.720, 0.255], [0.110, 0.219, 0.220], [0.890, 0.781, 0.780], [0.373, 0.280, 0.745]]
}

=====

Record 20
{
  "formula": "InHg",
  "functional": "GGA-PBEsol",
  "state": "relaxed",
  "dos_at_fermi_per_ev_atom": 0.374,
  "density_g_cm3": 10.7,
  "ef_mev_per_atom": -9,
  "spacegroup": "P2_13, No. 198",
  "energy_ha_per_atom": -0.06555,
  "cell": [[-5.522, -1.750, 0.355], [0.320, -2.105, -5.399], [1.757, -5.117, 2.099]],
  "species": ["Hg", "In", "In", "Hg", "Hg", "Hg", "In", "In"],
  "fractional_positions": [[0.410, 0.410, 0.410], [0.592, 0.408, 0.908], [0.092, 0.092, 0.092], [0.590, 0.910, 0.090], [0.090, 0.590, 0.910], [0.910, 0.090, 0.590], [0.908, 0.592, 0.408], [0.408, 0.908, 0.592]]
}